No. 1
A plane-wave DFT calculation with PBE-GGA was carried out for K3Tb3TaSe8 after structural relaxation.

The structure in POSCAR format:
```
K3Tb3TaSe8
1.0
-6.4822 1.6086 -4.7301
1.5358 -7.6842 2.3624
-3.2788 5.6816 6.4268
Se Tb Ta K
8 3 1 3
Cartesian
-6.0218 2.8005 -1.6713 Se
-1.8580 -1.9730 1.8761 Se
-5.1977 -1.3190 -0.4054 Se
-3.0275 0.9250 4.4646 Se
-5.6787 -2.3319 3.1945 Se
-2.2033 -3.1944 5.7305 Se
-2.5464 1.9379 0.8647 Se
-6.3672 1.5791 2.1831 Se
-4.1126 -0.1970 2.0296 Tb
-0.8715 -1.0013 4.3946 Tb
-4.8805 3.6451 0.8484 Tb
-1.6394 2.8408 3.2134 Ta
0.0000 0.0000 0.0000 K
-2.4732 -3.0378 -1.1838 K
0.7679 -3.8421 1.1812 K
```

As for the uncorrected formation energy: -2182 kJ/mol of formula units. Its mass density is 5.11 g cm⁻³.

***

No. 2
A plane-wave DFT calculation with PBE-GGA was carried out for CeMg2Tl after structural relaxation.

The structure in POSCAR format:
```
CeMg2Tl
1.0
-3.3416 -0.7223 0.8467
-0.2653 -2.0852 -2.8260
2.5999 -6.6029 4.6281
Tl Ce Mg
1 1 2
Cartesian
-1.8034 -1.4038 -0.9897 Tl
-0.5035 -4.7052 1.3244 Ce
0.5758 -1.4624 1.0250 Mg
2.0241 -5.1405 3.6030 Mg
```

As for the relative energy among the computed polymorphs: 45 kJ/mol of formula units. The calculation puts the formation energy at -0.004 eV per atom. Its mass density is 6.21 g cm⁻³.

***

No. 3
A plane-wave DFT calculation with PBE-GGA was carried out for FeSb2Te after structural relaxation.

The structure in POSCAR format:
```
FeSb2Te
1.0
-4.3403 -1.7951 -3.4257
4.8769 1.1900 -2.9320
1.0374 -3.0725 -0.7907
Fe Te Sb
1 1 2
Cartesian
2.9571 -0.9413 -1.8614 Fe
-1.6515 -2.4338 -2.1082 Te
0.2683 -0.3026 -3.1789 Sb
0.0000 0.0000 0.0000 Sb
```

As for the uncorrected formation energy: 234 kJ/mol of formula units. Its mass density is 7.29 g cm⁻³.

***

No. 4
A plane-wave DFT calculation with PBE-GGA was carried out for PuZrCu after structural relaxation.

The structure in POSCAR format:
```
PuZrCu
1.0
-1.1894 -2.9109 0.6528
1.3501 0.1014 2.9122
-5.1001 3.9578 0.4557
Pu Cu Zr
1 1 1
Cartesian
-0.0827 0.0421 0.0369 Pu
-1.7064 -0.4960 2.5792 Cu
-3.1504 1.6023 1.4047 Zr
```

As for the relative energy among the computed polymorphs: 0 kJ/mol of formula units. The calculation puts the formation energy at 0.073 eV per atom. Its mass density is 10.59 g cm⁻³.

***

No. 5
A plane-wave DFT calculation with PBE-GGA was carried out for MnAl2BrCl after structural relaxation.

The structure in POSCAR format:
```
MnAl2BrCl
1.0
-2.1434 -1.8172 -4.4293
-4.6720 -2.7129 3.3739
-2.8491 4.3842 -0.4200
Br Al Mn Cl
1 2 1 1
Cartesian
0.0000 0.0000 0.0000 Br
-1.0717 -0.9086 -2.2146 Al
-1.4245 2.1921 -0.2100 Al
-4.8322 -0.0729 -0.7377 Mn
-2.3360 -1.3564 1.6870 Cl
```

As for the uncorrected formation energy: 415 kJ/mol of formula units. Its mass density is 2.12 g cm⁻³.

***

No. 6
A plane-wave DFT calculation with PBE-GGA was carried out for Ac2LaPrS4 after structural relaxation.

The structure in POSCAR format:
```
Ac2LaPrS4
1.0
4.1963 0.0000 0.0000
0.0000 7.3065 0.1306
0.0000 -2.5473 6.8810
Ac S Pr La
2 4 1 1
Cartesian
0.0000 2.3796 3.5058 Ac
2.0981 -1.2737 3.4405 Ac
2.0981 3.5622 5.3342 S
2.0981 1.1969 1.6774 S
0.0000 4.8376 1.7406 S
0.0000 -0.0784 5.2711 S
2.0981 3.6532 0.0653 Pr
0.0000 0.0000 0.0000 La
```

As for the uncorrected formation energy: -1581 kJ/mol of formula units. Its mass density is 6.74 g cm⁻³.

***

No. 7
A plane-wave DFT calculation with PBE-GGA was carried out for Hg2PbSe after structural relaxation.

The structure in POSCAR format:
```
Hg2PbSe
1.0
4.0787 0.0000 0.0000
0.0000 4.0708 0.0000
0.0000 0.0000 6.3852
Hg Pb Se
2 1 1
Cartesian
0.0000 0.0000 6.2766 Hg
0.0000 0.0000 3.3012 Hg
2.0393 2.0354 1.5963 Pb
2.0393 2.0354 4.7889 Se
```

As for the uncorrected formation energy: 16 kJ/mol of formula units. Its mass density is 10.77 g cm⁻³.

***

No. 8
A plane-wave DFT calculation with PBE-GGA was carried out for KVHg after structural relaxation.

The structure in POSCAR format:
```
KVHg
1.0
3.7668 0.0666 -0.4428
-0.1518 13.8156 0.1520
0.3843 -0.0875 3.2156
V Hg K
2 2 2
Cartesian
2.1016 11.0778 1.7811 V
0.0339 10.5864 0.3801 V
0.1891 13.1568 2.0789 Hg
1.9487 8.5080 0.1019 Hg
0.2916 5.9965 1.8601 K
1.9972 1.8531 0.1696 K
```

As for the relative energy among the computed polymorphs: 18 kJ/mol of formula units. The calculation puts the formation energy at 0.360 eV per atom. Its mass density is 5.69 g cm⁻³.

***

No. 9
A plane-wave DFT calculation with PBE-GGA was carried out for ReSnC2F after structural relaxation.

The structure in POSCAR format:
```
ReSnC2F
1.0
-0.3557 3.2472 -2.7547
-2.7194 1.7372 2.3989
3.1275 2.0753 2.0425
Sn C F Re
1 2 1 1
Cartesian
0.0000 0.0000 0.0000 Sn
1.5637 1.0376 1.0212 C
-0.1779 1.6236 -1.3774 C
-1.3597 0.8686 1.1995 F
0.0262 3.5299 0.8433 Re
```

As for the uncorrected formation energy: 936 kJ/mol of formula units. Its mass density is 7.87 g cm⁻³.

***

No. 10
A plane-wave DFT calculation with PBE-GGA was carried out for SrNi3Rh2 after structural relaxation.

The structure in POSCAR format:
```
SrNi3Rh2
1.0
-0.9430 -4.6503 1.9985
2.3341 -2.7358 -5.2646
5.2653 0.4644 3.5650
Sr Ni Rh
2 6 4
Cartesian
2.1739 -1.8828 -0.0393 Sr
4.4824 -5.0389 0.3382 Sr
4.7572 -3.4521 -2.4721 Ni
1.8992 -3.4696 2.7710 Ni
0.7526 -4.7213 -0.6827 Ni
5.9037 -2.2004 0.9816 Ni
6.8012 -3.2659 -1.0742 Ni
-0.1449 -3.6558 1.3731 Ni
2.4756 -4.3917 -2.4188 Rh
4.1808 -2.5301 2.7177 Rh
2.9471 -2.0665 -3.4180 Rh
4.6523 -0.2049 1.7184 Rh
```

The calculation puts the formation energy at -0.037 eV per atom. Its mass density is 7.59 g cm⁻³.

***

No. 11
A plane-wave DFT calculation with PBE-GGA was carried out for SnI2O2 after structural relaxation.

The structure in POSCAR format:
```
SnI2O2
1.0
4.9340 0.0000 0.0000
0.0000 4.9340 0.0000
0.0000 0.0000 4.4319
I O Sn
2 2 1
Cartesian
2.4670 0.0000 0.0000 I
0.0000 2.4670 0.0000 I
0.0000 0.0000 0.0000 O
0.0000 0.0000 2.2160 O
2.4670 2.4670 2.2160 Sn
```

As for the relative energy among the computed polymorphs: 359 kJ/mol of formula units. As for the uncorrected formation energy: 245 kJ/mol of formula units. Its mass density is 6.23 g cm⁻³.

***

No. 12
A plane-wave DFT calculation with PBE-GGA was carried out for PmSmAsI after structural relaxation.

The structure in POSCAR format:
```
PmSmAsI
1.0
4.2092 -0.0014 0.0002
-2.1049 3.6474 -0.0001
-2.1031 -1.2145 7.7273
Pm As I Sm
1 1 1 1
Cartesian
0.3980 -0.2669 5.1464 Pm
-1.7062 0.9496 6.7464 As
2.5023 0.9485 2.8064 I
-1.7067 3.3810 0.5211 Sm
```

As for the uncorrected formation energy: -498 kJ/mol of formula units. Its mass density is 6.96 g cm⁻³.

***

No. 13
A plane-wave DFT calculation with PBE-GGA was carried out for LaZr3Se after structural relaxation.

The structure in POSCAR format:
```
LaZr3Se
1.0
5.1456 0.0000 0.0000
0.0000 5.1456 0.0000
0.0000 0.0000 5.1456
Zr Se La
3 1 1
Cartesian
2.5728 0.0000 0.0000 Zr
0.0000 0.0000 2.5728 Zr
0.0000 2.5728 0.0000 Zr
2.5728 2.5728 2.5728 Se
0.0000 0.0000 0.0000 La
```

As for the relative energy among the computed polymorphs: 666 kJ/mol of formula units. As for the uncorrected formation energy: 574 kJ/mol of formula units. Its mass density is 5.99 g cm⁻³.

***

No. 14
A plane-wave DFT calculation with PBE-GGA was carried out for Ni3SnCl after structural relaxation.

The structure in POSCAR format:
```
Ni3SnCl
1.0
-0.1124 -4.6031 -1.2458
0.1760 -1.2493 4.6001
-4.7654 0.0624 0.1993
Cl Ni Sn
1 3 1
Cartesian
-2.3509 -2.8950 1.7768 Cl
-0.0562 -2.3015 -0.6229 Ni
0.0880 -0.6247 2.3001 Ni
-2.3827 0.0312 0.0996 Ni
0.0000 0.0000 0.0000 Sn
```

As for the relative energy among the computed polymorphs: 274 kJ/mol of formula units. As for the uncorrected formation energy: 497 kJ/mol of formula units. Its mass density is 5.05 g cm⁻³.

***

No. 15
A plane-wave DFT calculation with PBE-GGA was carried out for BHPd2 after structural relaxation.

The structure in POSCAR format:
```
BHPd2
1.0
4.7528 0.0000 0.0000
0.0000 4.7528 0.0000
2.3764 2.3764 4.0537
B Pd H
2 4 2
Cartesian
0.0000 0.0000 0.0000 B
4.7528 2.3764 2.0268 B
5.9409 5.8070 3.0403 Pd
3.4307 1.1882 1.0134 Pd
1.3221 3.5646 1.0134 Pd
3.5646 3.6985 3.0403 Pd
2.3764 2.3764 0.0000 H
2.3764 4.7528 2.0268 H
```

As for the relative energy among the computed polymorphs: 0 kJ/mol of formula units. Its mass density is 8.15 g cm⁻³.

***

No. 16
A plane-wave DFT calculation with PBE-GGA was carried out for YSiPO2 after structural relaxation.

The structure in POSCAR format:
```
YSiPO2
1.0
-2.7427 1.4249 2.8324
2.7734 -0.7368 3.0562
2.1392 5.3923 -0.6413
Y O P Si
1 2 1 1
Cartesian
0.0000 0.0000 0.0000 Y
-1.3713 0.7125 1.4162 O
1.3867 -0.3684 1.5281 O
1.0696 2.6962 -0.3207 P
1.0850 3.0402 2.6236 Si
```

As for the relative energy among the computed polymorphs: 504 kJ/mol of formula units. As for the uncorrected formation energy: -269 kJ/mol of formula units. Its mass density is 2.91 g cm⁻³.

***

No. 17
A plane-wave DFT calculation with PBE-GGA was carried out for Mn2SiW after structural relaxation.

The structure in POSCAR format:
```
Mn2SiW
1.0
6.7220 0.0000 0.0000
0.0000 6.7220 0.0000
3.3610 3.3610 2.5375
Mn W Si
4 2 2
Cartesian
4.8927 1.6805 0.6344 Mn
8.4025 8.2537 1.9031 Mn
5.0415 5.1902 1.9031 Mn
1.8293 5.0415 0.6344 Mn
0.0000 0.0000 0.0000 W
6.7220 3.3610 1.2688 W
3.3610 3.3610 0.0000 Si
3.3610 6.7220 1.2688 Si
```

As for the uncorrected formation energy: 197 kJ/mol of formula units. Its mass density is 9.32 g cm⁻³.

***

No. 18
A plane-wave DFT calculation with PBE-GGA was carried out for LiLaI2N after structural relaxation.

The structure in POSCAR format:
```
LiLaI2N
1.0
5.5398 0.0000 0.0000
0.0000 5.5398 0.0000
0.0000 0.0000 4.0165
La N I Li
1 1 2 1
Cartesian
2.7699 2.7699 2.0082 La
0.0000 0.0000 2.0082 N
2.7699 0.0000 0.0000 I
0.0000 2.7699 0.0000 I
0.0000 0.0000 0.0000 Li
```

As for the relative energy among the computed polymorphs: 230 kJ/mol of formula units. As for the uncorrected formation energy: -86 kJ/mol of formula units. Its mass density is 5.57 g cm⁻³.

***

No. 19
A plane-wave DFT calculation with PBE-GGA was carried out for TbPr2YP4 after structural relaxation.

The structure in POSCAR format:
```
TbPr2YP4
1.0
-1.2522 -1.0781 -3.7699
-6.5411 -1.2544 2.5313
0.4717 6.7881 -2.0978
P Y Tb Pr
4 1 1 2
Cartesian
-1.2982 4.8451 -0.9543 P
-5.1983 3.6801 -1.5728 P
-4.7712 0.6886 1.3879 P
-2.1234 0.7755 -1.7635 P
0.0000 0.0000 0.0000 Y
-3.8966 -1.1662 -0.6193 Tb
-0.3903 2.8550 -2.9339 Pr
-3.0347 2.7668 0.2168 Pr
```

The calculation puts the formation energy at -1.560 eV per atom. Its mass density is 5.51 g cm⁻³.

***

No. 20
A plane-wave DFT calculation with PBE-GGA was carried out for MgInIrRu after structural relaxation.

The structure in POSCAR format:
```
MgInIrRu
1.0
4.5039 0.0000 0.0000
2.2520 3.9005 0.0000
2.2520 1.3002 3.6774
Ru In Ir Mg
1 1 1 1
Cartesian
6.7559 3.9005 2.7581 Ru
4.5039 2.6003 1.8387 In
2.2520 1.3002 0.9194 Ir
0.0000 0.0000 0.0000 Mg
```

The calculation puts the formation energy at -0.078 eV per atom. Its mass density is 11.11 g cm⁻³.